Record 1
CsLiNb2As | PBE | relaxed

- V: 32.44 Å³/atom
- Energy of formation from the pure elements: 89 kJ per mole of atoms
- Total energy: -4.5887 eV per atom
- Total magnetization: 2.97 μB per formula unit
- Symmetry: P4/mmm (123)

Cell lengths 4.9535, 6.6106, 4.9535 Å; angles 90.00, 90.00, 90.00 degrees
Site moments in Bohr magnetons follow the coordinates.
Element x y z (fractional)
Cs 0.0000 0.5000 0.0000  0.04
Nb 0.0000 0.0000 0.5000  1.20
Nb 0.5000 0.0000 0.0000  0.99
As 0.0000 0.0000 0.0000  -0.05
Li 0.5000 0.5000 0.5000  -0.01

Record 2
MgTaBe3 | PBE | relaxed

- V: 13.56 Å³/atom
- Energy of formation from the pure elements: 129 kJ per mole of atoms
- Total energy: -3.5874 eV per atom
- Total magnetization: 0.00 μB per formula unit
- Symmetry: Pm-3m (221)

Cell lengths 4.0772, 4.0772, 4.0772 Å; angles 90.00, 90.00, 90.00 degrees
Element x y z (fractional)
Be 0.0000 0.5000 0.0000
Be 0.0000 0.0000 0.5000
Be 0.5000 0.0000 0.0000
Mg 0.0000 0.0000 0.0000
Ta 0.5000 0.5000 0.5000

Record 3
SmGe2Se6 | PBE | relaxed

- V: 26.79 Å³/atom
- Energy relative to the elements, uncorrected: -53.1 kJ per mole of atoms
- Total energy: -4.4242 eV per atom
- Total magnetization: 0.00 μB per formula unit
- Symmetry: C2/c (15)

Cell lengths 6.7985, 8.6916, 8.6916 Å; angles 82.11, 76.10, 76.10 degrees
Element x y z (fractional)
Sm 0.2500 0.1629 0.8371
Sm 0.7500 0.8371 0.1629
Ge 0.2774 0.6276 0.7723
Ge 0.2226 0.2277 0.3724
Ge 0.7226 0.3724 0.2277
Ge 0.7774 0.7723 0.6276
Se 0.4860 0.7443 0.5308
Se 0.0140 0.4692 0.2557
Se 0.5140 0.2557 0.4692
Se 0.9860 0.5308 0.7443
Se 0.9985 0.8583 0.3944
Se 0.5015 0.6056 0.1417
Se 0.0015 0.1417 0.6056
Se 0.4985 0.3944 0.8583
Se 0.1717 0.8311 0.9559
Se 0.3283 0.0441 0.1689
Se 0.8283 0.1689 0.0441
Se 0.6717 0.9559 0.8311

Record 4
Na2CdTeO | PBE | relaxed

- V: 20.18 Å³/atom
- Energy relative to the elements, uncorrected: -92.8 kJ per mole of atoms
- Total energy: -3.2928 eV per atom
- Total magnetization: 0.00 μB per formula unit
- Symmetry: P4/mmm (123)

Cell lengths 4.7151, 4.7151, 4.5392 Å; angles 90.00, 90.00, 90.00 degrees
Element x y z (fractional)
Na 0.0000 0.5000 0.0000
Na 0.5000 0.0000 0.0000
Te 0.5000 0.5000 0.5000
O 0.0000 0.0000 0.0000
Cd 0.0000 0.0000 0.5000

Record 5
VCoMoIr | PBE | relaxed

- V: 13.59 Å³/atom
- Energy of formation from the pure elements: -7 kJ per mole of atoms
- Total energy: -9.0490 eV per atom
- Total magnetization: 1.38 μB per formula unit
- Symmetry: F-43m (216)

Cell lengths 4.2518, 4.2518, 4.2518 Å; angles 60.00, 60.00, 60.00 degrees
Site moments in Bohr magnetons follow the coordinates.
Element x y z (fractional)
Mo 0.5000 0.5000 0.5000  0.06
Ir 0.0000 0.0000 0.0000  0.06
Co 0.2500 0.2500 0.2500  1.00
V 0.7500 0.7500 0.7500  0.23

Record 6
YLuIrPb | PBE | relaxed

- V: 23.34 Å³/atom
- Energy of formation from the pure elements: -48 kJ per mole of atoms
- Total energy: -6.3814 eV per atom
- Total magnetization: 0.00 μB per formula unit
- Symmetry: F-43m (216)

Cell lengths 5.0918, 5.0918, 5.0918 Å; angles 60.00, 60.00, 60.00 degrees
Element x y z (fractional)
Pb 0.0000 0.0000 0.0000
Y 0.7500 0.7500 0.7500
Ir 0.5000 0.5000 0.5000
Lu 0.2500 0.2500 0.2500

Record 7
ThCo6B2 | PBE | relaxed

- V: 13.10 Å³/atom
- Energy of formation from the pure elements: 3 kJ per mole of atoms
- Total energy: -7.0120 eV per atom
- Total magnetization: 4.76 μB per formula unit
- Symmetry: Fd-3m (227)

Cell lengths 6.9350, 6.9350, 6.9350 Å; angles 60.00, 60.00, 60.00 degrees
Site moments in Bohr magnetons follow the coordinates.
Element x y z (fractional)
Th 0.5000 0.5000 0.5000  -0.25
Th 0.7500 0.7500 0.7500  -0.25
Co 0.2090 0.2090 0.7910  0.90
Co 0.7910 0.7910 0.2090  0.90
Co 0.2090 0.7910 0.2090  0.90
Co 0.2090 0.7910 0.7910  0.90
Co 0.4590 0.4590 0.0410  0.90
Co 0.4590 0.0410 0.0410  0.90
Co 0.7910 0.2090 0.7910  0.90
Co 0.0410 0.0410 0.4590  0.90
Co 0.4590 0.0410 0.4590  0.90
Co 0.0410 0.4590 0.4590  0.90
Co 0.7910 0.2090 0.2090  0.90
Co 0.0410 0.4590 0.0410  0.90
B 0.1250 0.1250 0.1250  -0.07
B 0.1250 0.6250 0.1250  -0.07
B 0.1250 0.1250 0.6250  -0.07
B 0.6250 0.1250 0.1250  -0.07

Record 8
InGaCu2H | PBE | relaxed

- V: 13.82 Å³/atom
- Total energy: -3.1972 eV per atom
- Total magnetization: 0.00 μB per formula unit
- Symmetry: P4/mmm (123)

Cell lengths 3.9568, 4.4145, 3.9568 Å; angles 90.00, 90.00, 90.00 degrees
Element x y z (fractional)
H 0.0000 0.0000 0.0000
Cu 0.0000 0.0000 0.5000
Cu 0.5000 0.0000 0.0000
Ga 0.0000 0.5000 0.0000
In 0.5000 0.5000 0.5000

Record 9
TbTmPu | PBE | relaxed

- V: 29.44 Å³/atom
- Energy of formation from the pure elements: 18 kJ per mole of atoms
- Total energy: -7.6271 eV per atom
- Total magnetization: 5.75 μB per formula unit
- Symmetry: P-6m2 (187)

Cell lengths 3.2742, 5.5806, 5.5806 Å; angles 120.00, 90.00, 90.00 degrees
Site moments in Bohr magnetons follow the coordinates.
Element x y z (fractional)
Tm 0.1666 0.0000 0.0000  0.03
Tb 0.1667 0.6667 0.3333  0.00
Pu 0.6667 0.3333 0.6667  5.40

Record 10
PI2O8 | PBE | relaxed

- V: 18.80 Å³/atom
- Energy relative to the elements, uncorrected: -30.3 kJ per mole of atoms
- Total energy: -4.6932 eV per atom
- Total magnetization: 0.78 μB per formula unit
- Symmetry: C2/m (12)

Cell lengths 5.2209, 6.5429, 6.5429 Å; angles 77.35, 75.64, 75.64 degrees
Site moments in Bohr magnetons follow the coordinates.
Element x y z (fractional)
P 0.0000 0.0000 0.0000  -0.01
I 0.3444 0.1742 0.1742  0.02
I 0.6556 0.8258 0.8258  0.02
O 0.8476 0.0843 0.7859  0.09
O 0.1524 0.2141 0.9157  0.09
O 0.7350 0.1654 0.1654  0.12
O 0.2650 0.8346 0.8346  0.12
O 0.8476 0.7859 0.0843  0.09
O 0.1524 0.9157 0.2141  0.09
O 0.1720 0.3550 0.3550  0.02
O 0.8280 0.6450 0.6450  0.02

Record 11
SrZrNi10 | PBE | relaxed

- V: 13.72 Å³/atom
- Energy of formation from the pure elements: -15 kJ per mole of atoms
- Total energy: -5.8224 eV per atom
- Total magnetization: 2.97 μB per formula unit
- Symmetry: Pmmm (47)

Cell lengths 3.9559, 4.8950, 8.5035 Å; angles 90.00, 90.00, 90.00 degrees
Site moments in Bohr magnetons follow the coordinates.
Element x y z (fractional)
Sr 0.0000 0.0000 0.0000  -0.03
Zr 0.0000 0.5000 0.5000  -0.09
Ni 0.0000 0.0000 0.3450  0.25
Ni 0.0000 0.5000 0.8150  0.30
Ni 0.0000 0.5000 0.1850  0.30
Ni 0.0000 0.0000 0.6550  0.25
Ni 0.5000 0.0000 0.5000  0.38
Ni 0.5000 0.5000 0.0000  0.38
Ni 0.5000 0.2575 0.2636  0.38
Ni 0.5000 0.7425 0.7364  0.38
Ni 0.5000 0.7425 0.2636  0.38
Ni 0.5000 0.2575 0.7364  0.38

Record 12
CsHg2PW | PBE | relaxed

- V: 36.44 Å³/atom
- Energy of formation from the pure elements: 141 kJ per mole of atoms
- Total energy: -2.4986 eV per atom
- Total magnetization: 5.03 μB per formula unit
- Symmetry: P4/mmm (123)

Cell lengths 5.2461, 6.6209, 5.2461 Å; angles 90.00, 90.00, 90.00 degrees
Site moments in Bohr magnetons follow the coordinates.
Element x y z (fractional)
Cs 0.0000 0.5000 0.0000  0.04
P 0.0000 0.0000 0.0000  -0.04
Hg 0.0000 0.0000 0.5000  -0.02
Hg 0.5000 0.0000 0.0000  0.00
W 0.5000 0.5000 0.5000  3.54

Record 13
Er4TmPb | PBE | relaxed

- V: 29.22 Å³/atom
- Energy of formation from the pure elements: -13 kJ per mole of atoms
- Total energy: -4.5419 eV per atom
- Total magnetization: 0.00 μB per formula unit
- Symmetry: C2/m (12)

Cell lengths 7.6148, 7.6151, 6.0917 Å; angles 120.10, 75.37, 143.20 degrees
Element x y z (fractional)
Er 0.3461 0.6696 0.0161
Er 0.6539 0.3304 0.9839
Er 0.3170 0.1470 0.4642
Er 0.6830 0.8530 0.5358
Tm 0.0000 0.5000 0.5000
Pb 0.0000 0.0000 0.0000

Record 14
CuAgPdBr6 | PBE | relaxed

- V: 29.33 Å³/atom
- Energy relative to the elements, uncorrected: -25.2 kJ per mole of atoms
- Total energy: -2.7256 eV per atom
- Total magnetization: 0.00 μB per formula unit
- Symmetry: P4_2nm (102)

Cell lengths 6.8667, 6.8667, 11.1981 Å; angles 90.00, 90.00, 90.00 degrees
Element x y z (fractional)
Cu 0.5000 0.5000 0.1708
Cu 0.0000 0.0000 0.6708
Ag 0.5000 0.5000 0.4937
Ag 0.0000 0.0000 0.9937
Pd 0.5000 0.5000 0.8368
Pd 0.0000 0.0000 0.3368
Br 0.1685 0.8315 0.5031
Br 0.8315 0.1685 0.5031
Br 0.3315 0.3315 0.0031
Br 0.6685 0.6685 0.0031
Br 0.1776 0.8224 0.1783
Br 0.8224 0.1776 0.1783
Br 0.3224 0.3224 0.6783
Br 0.6776 0.6776 0.6783
Br 0.8169 0.1831 0.8180
Br 0.1831 0.8169 0.8180
Br 0.6831 0.6831 0.3180
Br 0.3169 0.3169 0.3180

Record 15
Dy3Ho4TmSe8 | PBE | relaxed

- V: 23.64 Å³/atom
- Energy relative to the elements, uncorrected: -165.8 kJ per mole of atoms
- Total energy: -5.7477 eV per atom
- Total magnetization: 0.00 μB per formula unit
- Symmetry: R-3m (166)

Cell lengths 8.1156, 8.1185, 8.1158 Å; angles 119.99, 120.00, 90.00 degrees
Element x y z (fractional)
Dy 0.5000 0.5000 0.0000
Dy 0.5000 0.5000 0.5000
Dy 0.0000 0.5000 0.5000
Ho 0.5000 0.0000 0.0000
Ho 0.5000 0.0000 0.5000
Ho 0.0000 0.0000 0.0000
Ho 0.0000 0.0000 0.5000
Tm 0.0000 0.5000 0.0000
Se 0.2484 0.7498 0.0012
Se 0.2488 0.7502 0.4977
Se 0.2494 0.2481 0.4989
Se 0.7528 0.7498 0.0012
Se 0.2472 0.2502 0.9988
Se 0.7506 0.7519 0.5011
Se 0.7512 0.2498 0.5023
Se 0.7516 0.2502 0.9988

Record 16
PrC2BrO6 | PBE | relaxed

- V: 14.71 Å³/atom
- Energy relative to the elements, uncorrected: -164.8 kJ per mole of atoms
- Total energy: -7.1731 eV per atom
- Total magnetization: 0.00 μB per formula unit
- Symmetry: C2/c (15)

Cell lengths 6.7237, 6.7237, 7.8575 Å; angles 113.54, 113.54, 88.96 degrees
Element x y z (fractional)
Pr 0.5758 0.4242 0.2500
Pr 0.4242 0.5758 0.7500
C 0.3798 0.0988 0.7131
C 0.9012 0.6202 0.7869
C 0.6202 0.9012 0.2869
C 0.0988 0.3798 0.2131
Br 0.0990 0.9010 0.2500
Br 0.9010 0.0990 0.7500
O 0.9117 0.3779 0.2115
O 0.6221 0.0883 0.2885
O 0.0883 0.6221 0.7885
O 0.3779 0.9117 0.7115
O 0.1374 0.3029 0.0462
O 0.6971 0.8626 0.4538
O 0.8626 0.6971 0.9538
O 0.3029 0.1374 0.5462
O 0.2827 0.4613 0.3790
O 0.5387 0.7173 0.1210
O 0.7173 0.5387 0.6210
O 0.4613 0.2827 0.8790

Record 17
Cr2CuTe | PBE | relaxed

- V: 15.20 Å³/atom
- Energy relative to the elements, uncorrected: 43.6 kJ per mole of atoms
- Total energy: -6.1688 eV per atom
- Total magnetization: 5.23 μB per formula unit
- Symmetry: I4/mmm (139)

Cell lengths 4.7000, 4.7000, 4.7000 Å; angles 129.17, 129.16, 74.74 degrees
Site moments in Bohr magnetons follow the coordinates.
Element x y z (fractional)
Cr 0.0001 0.0001 0.0000  2.46
Cr 0.4999 0.4999 0.0000  2.46
Cu 0.7500 0.2500 0.5000  0.08
Te 0.2500 0.7500 0.5000  -0.07

Record 18
CaHoCuPd | PBE | relaxed

- V: 22.75 Å³/atom
- Energy of formation from the pure elements: -49 kJ per mole of atoms
- Total energy: -4.4742 eV per atom
- Total magnetization: 0.00 μB per formula unit
- Symmetry: Amm2 (38)

Cell lengths 3.8550, 4.3384, 5.7725 Å; angles 90.00, 109.51, 90.00 degrees
Element x y z (fractional)
Ca 0.1433 0.0000 0.2866
Ho 0.8647 0.5000 0.7293
Cu 0.5702 0.5000 0.1404
Pd 0.4218 0.0000 0.8437

Record 19
Sr2TlPb | PBE | relaxed

- V: 34.98 Å³/atom
- Energy of formation from the pure elements: -47 kJ per mole of atoms
- Total energy: -2.8486 eV per atom
- Total magnetization: 0.00 μB per formula unit
- Symmetry: Fm-3m (225)

Cell lengths 5.8272, 5.8272, 5.8272 Å; angles 60.00, 60.00, 60.00 degrees
Element x y z (fractional)
Pb 0.2500 0.2500 0.2500
Sr 0.5000 0.5000 0.5000
Sr 0.0000 0.0000 0.0000
Tl 0.7500 0.7500 0.7500

Record 20
Nd6CCl12 | PBE | relaxed

- V: 25.84 Å³/atom
- Energy relative to the elements, uncorrected: -174.1 kJ per mole of atoms
- Total energy: -4.9614 eV per atom
- Total magnetization: 0.86 μB per formula unit
- Symmetry: R-3m (166)

Cell lengths 8.1438, 8.1438, 8.1438 Å; angles 74.62, 74.62, 74.62 degrees
Site moments in Bohr magnetons follow the coordinates.
Element x y z (fractional)
Nd 0.2210 0.8060 0.2210  0.06
Nd 0.1940 0.7790 0.7790  0.06
Nd 0.7790 0.7790 0.1940  0.06
Nd 0.7790 0.1940 0.7790  0.06
Nd 0.8060 0.2210 0.2210  0.06
Nd 0.2210 0.2210 0.8060  0.06
C 0.0000 0.0000 0.0000  -0.04
Cl 0.5531 0.1747 0.5531  0.00
Cl 0.1747 0.5531 0.5531  0.00
Cl 0.5531 0.5531 0.1747  0.00
Cl 0.4469 0.8253 0.4469  0.00
Cl 0.8253 0.4469 0.4469  0.00
Cl 0.4469 0.4469 0.8253  0.00
Cl 0.5617 0.1103 0.1103  0.00
Cl 0.8897 0.4383 0.8897  0.00
Cl 0.8897 0.8897 0.4383  0.00
Cl 0.4383 0.8897 0.8897  0.00
Cl 0.1103 0.5617 0.1103  0.00
Cl 0.1103 0.1103 0.5617  0.00